1.
# Re3HPb

An optimized crystal structure of Re3HPb (PBE, Alexandria via LeMat-Bulk).

```
Re3HPb
1.0
4.996 0.000 0.000
0.000 4.996 0.000
0.000 0.000 4.996
Re Pb H
3 1 1
direct
0.000 0.500 0.000 Re
0.000 0.000 0.500 Re
0.500 0.000 0.000 Re
0.000 0.000 0.000 Pb
0.500 0.500 0.500 H
```

E above lowest polymorph, eV per atom: 3.0960
DOS(E_F), states/eV/cell: 9.604
SG: Pm-3m
M_tot, μB/f.u.: 0.0

2.
# Re3HPb

An optimized crystal structure of Re3HPb (PBE, Alexandria via LeMat-Bulk).

```
Re3HPb
1.0
4.113 0.000 0.000
0.000 4.113 0.000
0.000 0.000 4.113
H Re Pb
1 3 1
direct
0.000 0.000 0.000 H
0.000 0.000 0.500 Re
0.000 0.500 0.000 Re
0.500 0.000 0.000 Re
0.500 0.500 0.500 Pb
```

E above lowest polymorph, eV per atom: 0.0000
DOS(E_F), states/eV/cell: 5.969
SG: Pm-3m
M_tot, μB/f.u.: 0.0